This record from Alexandria via LeMat-Bulk describes an optimized crystal structure of SnS. The functional is PBEsol.

Geometry as POSCAR:
```
SnS
1.0
-0.692 -1.255 3.714
-0.415 -3.944 -1.410
10.845 -1.661 1.458
Sn S
4 4
direct
0.250 0.395 0.618 Sn
0.750 0.895 0.882 Sn
0.750 0.605 0.382 Sn
0.250 0.105 0.118 Sn
0.750 0.523 0.146 S
0.250 0.477 0.854 S
0.750 0.977 0.646 S
0.250 0.023 0.354 S
```

Calculated values
The uncorrected formation energy comes out at -0.95 eV/f.u. Its symmetry is Pnma (62). The value obtained for the raw total energy is -4.7977 eV per atom.

***

This record from Alexandria via LeMat-Bulk describes an optimized crystal structure of Pb3Se. The functional is PBEsol.

Geometry as POSCAR:
```
Pb3Se
1.0
-1.494 3.265 1.050
-1.497 -3.213 1.196
5.654 0.166 7.526
Pb Se
3 1
direct
0.000 0.000 0.282 Pb
0.000 0.000 0.718 Pb
0.333 0.667 0.000 Pb
0.333 0.667 0.500 Se
```

Calculated values
The uncorrected formation energy comes out at -0.34 eV/f.u. Its symmetry is P-6m2 (187). The value obtained for the raw total energy is -4.0456 eV per atom.

***

This record from Alexandria via LeMat-Bulk describes an optimized crystal structure of Fe2PPb. The functional is PBEsol.

Geometry as POSCAR:
```
Fe2PPb
1.0
-1.068 -2.437 -1.243
-0.679 -1.056 2.654
-6.089 2.879 -0.413
Fe Pb P
2 1 1
direct
0.000 0.000 0.169 Fe
0.000 0.000 0.831 Fe
0.500 0.500 0.500 Pb
0.500 0.500 0.000 P
```

Calculated values
Its symmetry is P4/mmm (123). The value obtained for the raw total energy is -6.7720 eV per atom.

***

> What is the raw total energy in the first record?

-4.7977 eV per atom

***

> The lowest raw total energy belongs to which entry?

Fe2PPb

***

Please write out number 3 again, unchanged.
This record from Alexandria via LeMat-Bulk describes an optimized crystal structure of Fe2PPb. The functional is PBEsol.

Geometry as POSCAR:
```
Fe2PPb
1.0
-1.068 -2.437 -1.243
-0.679 -1.056 2.654
-6.089 2.879 -0.413
Fe Pb P
2 1 1
direct
0.000 0.000 0.169 Fe
0.000 0.000 0.831 Fe
0.500 0.500 0.500 Pb
0.500 0.500 0.000 P
```

Calculated values
Its symmetry is P4/mmm (123). The value obtained for the raw total energy is -6.7720 eV per atom.